Compound: BaHf3Ag
Source: Alexandria
Functional: PBE
Structure: relaxed

Density of states at the Fermi level ... 6.70 states/eV per cell
SG ... Pm-3m
Offset from the most stable computed form ... 0.000 eV per atom
Calculated formation energy ... 952 meV/atom

Geometry as POSCAR:
```
BaHf3Ag
1.0
-2.0235 3.8868 -2.9526
-3.8757 0.6634 3.5296
2.9670 3.5174 2.5969
Ag Ba Hf
1 1 3
direct
0.0000 0.0000 0.0000
0.5000 0.5000 0.5000
0.5000 0.0000 0.0000
0.0000 0.5000 0.0000
0.0000 0.0000 0.5000
```



Compound: ZnSn3Sb
Source: Alexandria
Functional: PBE
Structure: relaxed

Density of states at the Fermi level ... 3.66 states/eV per cell
SG ... Pm-3m
Offset from the most stable computed form ... 0.438 eV per atom
Energy relative to the elements, uncorrected ... 0.7703 eV/atom

Geometry as POSCAR:
```
ZnSn3Sb
1.0
-0.5489 5.7637 -0.0798
-5.7631 -0.5472 0.1194
0.1114 0.0907 5.7885
Zn Sn Sb
1 3 1
direct
0.5000 0.5000 0.5000
0.0000 0.0000 0.5000
0.5000 0.0000 0.0000
0.0000 0.5000 0.0000
0.0000 0.0000 0.0000
```



Compound: NaTbCdF6
Source: Alexandria
Functional: PBE
Structure: relaxed

Density of states at the Fermi level ... 0.00 states/eV per cell
SG ... P4_2nm
Energy relative to the elements, uncorrected ... -3.1748 eV/atom

Geometry as POSCAR:
```
NaTbCdF6
1.0
-4.4070 0.7686 -2.7249
2.2867 -2.0063 -4.2642
-3.3965 -9.7198 2.7518
F Cd Tb Na
12 2 2 2
direct
0.3039 0.3039 0.6770
0.8039 0.1961 0.1770
0.8121 0.1879 0.4955
0.6961 0.6961 0.6770
0.1879 0.8121 0.4955
0.7017 0.7017 0.3278
0.2983 0.2983 0.3278
0.6879 0.6879 0.9955
0.1961 0.8039 0.1770
0.3121 0.3121 0.9955
0.2017 0.7983 0.8278
0.7983 0.2017 0.8278
0.0000 0.0000 0.6669
0.5000 0.5000 0.1669
0.5000 0.5000 0.8334
0.0000 0.0000 0.3334
0.0000 0.0000 0.9991
0.5000 0.5000 0.4991
```



Compound: SrInSn2S6
Source: Alexandria
Functional: PBE
Structure: relaxed

Density of states at the Fermi level ... 4.02 states/eV per cell
SG ... C2/c
Energy relative to the elements, uncorrected ... -0.6821 eV/atom

Geometry as POSCAR:
```
SrInSn2S6
1.0
-5.2208 2.9964 -5.0808
-7.4581 -5.1378 0.7304
-3.2044 7.5765 3.8577
S Sn Sr In
12 4 2 2
direct
0.0065 0.6996 0.5517
0.8320 0.0662 0.1988
0.4935 0.4483 0.3004
0.9935 0.3004 0.4483
0.4250 0.8814 0.3696
0.0750 0.6304 0.1186
0.9250 0.3696 0.8814
0.1680 0.9338 0.8012
0.5750 0.1186 0.6304
0.3320 0.1988 0.0662
0.6680 0.8012 0.9338
0.5065 0.5517 0.6996
0.3347 0.7101 0.5452
0.6653 0.2899 0.4548
0.1653 0.4548 0.2899
0.8347 0.5452 0.7101
0.2500 0.8950 0.1050
0.7500 0.1050 0.8950
0.2500 0.1852 0.8148
0.7500 0.8148 0.1852
```



Compound: CrOsCl
Source: Alexandria
Functional: PBE
Structure: relaxed

Density of states at the Fermi level ... 2.78 states/eV per cell
SG ... F-43m
Offset from the most stable computed form ... 0.735 eV per atom
Energy relative to the elements, uncorrected ... 1.0223 eV/atom

Geometry as POSCAR:
```
CrOsCl
1.0
4.1685 0.0000 0.0000
2.0843 3.6100 0.0000
2.0843 1.2033 3.4036
Cl Cr Os
1 1 1
direct
0.0000 0.0000 0.0000
0.5000 0.5000 0.5000
0.7500 0.7500 0.7500
```



Compound: Zn2Sn2B
Source: Alexandria
Functional: PBE
Structure: relaxed

Density of states at the Fermi level ... 1.20 states/eV per cell
SG ... I4/mmm
Offset from the most stable computed form ... 0.579 eV per atom
Calculated formation energy ... 1029 meV/atom

Geometry as POSCAR:
```
Zn2Sn2B
1.0
4.3006 0.0000 0.0000
0.0000 4.3006 0.0000
2.1503 2.1503 6.1137
B Sn Zn
1 2 2
direct
0.0000 0.0000 0.0000
0.2500 0.7500 0.5000
0.7500 0.2500 0.5000
0.4042 0.4042 0.1915
0.5958 0.5958 0.8085
```



Compound: FeTeAs2
Source: Alexandria
Functional: PBE
Structure: relaxed

Density of states at the Fermi level ... 5.42 states/eV per cell
SG ... P4/mmm
Energy relative to the elements, uncorrected ... 0.5703 eV/atom

Geometry as POSCAR:
```
FeTeAs2
1.0
5.5500 0.0000 0.0000
0.0000 3.8435 0.0000
0.0000 0.0000 3.8435
As Te Fe
2 1 1
direct
0.0000 0.5000 0.5000
0.0000 0.0000 0.0000
0.5000 0.0000 0.5000
0.5000 0.5000 0.0000
```



Compound: DySi2Pd
Source: Alexandria
Functional: PBE
Structure: relaxed

Density of states at the Fermi level ... 12.81 states/eV per cell
SG ... Pnma
Energy relative to the elements, uncorrected ... -0.8129 eV/atom

Geometry as POSCAR:
```
DySi2Pd
1.0
4.0746 0.0000 0.0000
0.0000 10.5480 0.0000
0.0000 0.0000 13.3898
Si Pd Dy
16 8 8
direct
0.2500 0.0393 0.3742
0.2500 0.4578 0.5303
0.7500 0.9578 0.9697
0.2500 0.2654 0.7923
0.7500 0.7679 0.8841
0.7500 0.7346 0.2077
0.2500 0.2679 0.6159
0.2500 0.2346 0.2923
0.7500 0.5393 0.1258
0.2500 0.2321 0.1159
0.7500 0.5422 0.4697
0.7500 0.9607 0.6258
0.7500 0.7654 0.7077
0.2500 0.0422 0.0303
0.2500 0.4607 0.8742
0.7500 0.7321 0.3841
0.7500 0.9449 0.4398
0.2500 0.6783 0.7928
0.7500 0.1783 0.7072
0.7500 0.5551 0.9398
0.2500 0.4449 0.0602
0.7500 0.3217 0.2072
0.2500 0.8217 0.2928
0.2500 0.0551 0.5602
0.7500 0.2546 0.4500
0.7500 0.4747 0.6992
0.2500 0.7546 0.0500
0.2500 0.7454 0.5500
0.2500 0.5253 0.3008
0.7500 0.0253 0.1992
0.2500 0.9747 0.8008
0.7500 0.2454 0.9500
```



Compound: Te2AsP
Source: Alexandria
Functional: PBE
Structure: relaxed

Density of states at the Fermi level ... 3.12 states/eV per cell
SG ... F-43m
Offset from the most stable computed form ... 0.487 eV per atom
Energy relative to the elements, uncorrected ... 0.6229 eV/atom

Geometry as POSCAR:
```
Te2AsP
1.0
5.0371 0.0000 0.0000
2.5186 4.3623 0.0000
2.5186 1.4541 4.1128
As Te P
1 2 1
direct
0.5000 0.5000 0.5000
0.2500 0.2500 0.2500
0.0000 0.0000 0.0000
0.7500 0.7500 0.7500
```



Compound: PRuSe2
Source: Alexandria
Functional: PBE
Structure: relaxed

Density of states at the Fermi level ... 1.57 states/eV per cell
SG ... C2/m
Energy relative to the elements, uncorrected ... 0.2759 eV/atom

Geometry as POSCAR:
```
PRuSe2
1.0
1.5209 3.4122 0.0027
-1.5209 3.4122 0.0027
0.0000 0.5905 6.9247
Ru P Se
1 1 2
direct
0.0000 0.0000 0.5000
0.5000 0.5000 0.0000
0.7160 0.7160 0.2853
0.2840 0.2840 0.7147
```



Compound: BaMgP2
Source: Alexandria
Functional: PBE
Structure: relaxed

Density of states at the Fermi level ... 0.48 states/eV per cell
SG ... I-42d
Calculated formation energy ... -571 meV/atom

Geometry as POSCAR:
```
BaMgP2
1.0
5.3251 0.0000 0.0000
0.0000 5.3251 0.0000
2.6626 2.6626 8.0823
Mg P Ba
2 4 2
direct
0.5000 0.5000 0.0000
0.2500 0.7500 0.5000
0.3229 0.6250 0.2500
0.4271 0.1250 0.2500
0.3750 0.5729 0.7500
0.8750 0.6771 0.7500
0.7500 0.2500 0.5000
0.0000 0.0000 0.0000
```



Compound: ZnCuAu
Source: Alexandria
Functional: PBE
Structure: relaxed

Density of states at the Fermi level ... 0.40 states/eV per cell
SG ... I4mm
Offset from the most stable computed form ... 0.000 eV per atom
Calculated formation energy ... -133 meV/atom

Geometry as POSCAR:
```
ZnCuAu
1.0
-4.4233 1.4066 1.7992
-4.7957 0.5517 -1.2159
-1.5694 -2.5774 0.9246
Zn Cu Au
1 1 1
direct
0.6781 0.6781 0.3219
0.3221 0.3221 0.6779
0.9998 0.9998 0.0002
```



Compound: CuReSb3
Source: Alexandria
Functional: PBE
Structure: relaxed

Density of states at the Fermi level ... 7.57 states/eV per cell
SG ... Pm-3m
Offset from the most stable computed form ... 0.000 eV per atom
Energy relative to the elements, uncorrected ... 0.9160 eV/atom

Geometry as POSCAR:
```
CuReSb3
1.0
5.1751 0.0000 0.0000
0.0000 5.1751 0.0000
0.0000 0.0000 5.1751
Re Sb Cu
1 3 1
direct
0.0000 0.0000 0.0000
0.5000 0.0000 0.0000
0.0000 0.0000 0.5000
0.0000 0.5000 0.0000
0.5000 0.5000 0.5000
```